(1)
Here is crystalline Y6Pd5Au at its relaxed geometry from Alexandria. Energies are from PBE.

a b c (Å): 8.6531 8.6531 5.0049
angles (deg): 106.72 106.72 48.18
With the nearest neighbours (Å) after each atom.
Fractional coordinates of all 12 atoms:
Y 0.0804 0.5840 0.3322  7 Pd 3.03-3.07, 1 Au 3.08
Y 0.2465 0.7535 0.0000  6 Pd 3.05-3.08, 2 Au 3.08
Y 0.4160 0.9196 0.6678  7 Pd 3.03-3.07, 1 Au 3.08
Y 0.5840 0.0804 0.3322  7 Pd 3.03-3.07, 1 Au 3.08
Y 0.7535 0.2465 0.0000  6 Pd 3.05-3.08, 2 Au 3.08
Y 0.9196 0.4160 0.6678  7 Pd 3.03-3.07, 1 Au 3.08
Pd 0.0000 0.0000 0.5000  8 Y 3.05-3.07
Pd 0.1668 0.1668 0.1665  8 Y 3.05-3.06
Pd 0.3327 0.3327 0.8333  8 Y 3.03-3.08
Pd 0.6673 0.6673 0.1667  8 Y 3.03-3.08
Pd 0.8332 0.8332 0.8335  8 Y 3.05-3.06
Au 0.5000 0.5000 0.5000  8 Y 3.08

## Properties
* ΔH_f (0 K): -0.868 eV per atom

---

(2)
Here is crystalline RbHfW3 at its relaxed geometry from Alexandria. Energies are from PBE.

a b c (Å): 5.0200 5.0200 5.0200
angles (deg): 90.00 90.00 90.00
With the nearest neighbours (Å) after each atom.
Fractional coordinates of all 5 atoms:
Rb 0.0000 0.0000 0.0000  12 W 3.55
Hf 0.5000 0.5000 0.5000  6 W 2.51
W 0.0000 0.5000 0.5000  2 Hf 2.51
W 0.5000 0.0000 0.5000  2 Hf 2.51
W 0.5000 0.5000 0.0000  2 Hf 2.51

## Properties
* ΔH_f (0 K): 2.673 eV per atom

---

(3)
Here is crystalline Ac5GaOs2 at its relaxed geometry from Alexandria. Energies are from PBE.

a b c (Å): 9.5305 9.5305 9.5305
angles (deg): 128.91 128.91 75.16
With the nearest neighbours (Å) after each atom.
Fractional coordinates of all 16 atoms:
Ac 0.0000 0.0000 0.0000  4 Os 3.32, 8 Ac 3.66
Ac 0.0411 0.5411 0.8537  3 Os 3.18-3.20, 2 Ga 3.48
Ac 0.1873 0.0411 0.5000  3 Os 3.18-3.20, 2 Ga 3.48
Ac 0.3127 0.8127 0.8537  3 Os 3.18-3.20, 2 Ga 3.48
Ac 0.4589 0.3127 0.5000  3 Os 3.18-3.20, 2 Ga 3.48
Ac 0.5000 0.5000 0.0000  4 Os 3.32, 8 Ac 3.66
Ac 0.5411 0.6873 0.5000  3 Os 3.18-3.20, 2 Ga 3.48
Ac 0.6873 0.1873 0.1463  3 Os 3.18-3.20, 2 Ga 3.48
Ac 0.8127 0.9589 0.5000  3 Os 3.18-3.20, 2 Ga 3.48
Ac 0.9589 0.4589 0.1463  3 Os 3.18-3.20, 2 Ga 3.48
Ga 0.2500 0.2500 0.0000  10 Ac 3.48-3.78
Ga 0.7500 0.7500 0.0000  10 Ac 3.48-3.78
Os 0.1121 0.3879 0.5000  1 Os 2.61
Os 0.3879 0.8879 0.2758  1 Os 2.61
Os 0.6121 0.1121 0.7242  1 Os 2.61
Os 0.8879 0.6121 0.5000  1 Os 2.61

## Properties
* ΔH_f (0 K): -0.145 eV per atom

---

(4)
Here is crystalline Li2ZnGa at its relaxed geometry from Alexandria. Energies are from PBE.

a b c (Å): 2.9780 2.9780 6.7541
angles (deg): 90.00 90.00 90.00
With the nearest neighbours (Å) after each atom.
Fractional coordinates of all 4 atoms:
Li 0.0000 0.0000 0.2459  4 Zn 2.68, 4 Ga 2.72, 4 Li 2.98
Li 0.0000 0.0000 0.7541  4 Zn 2.68, 4 Ga 2.72, 4 Li 2.98
Zn 0.5000 0.5000 0.0000  8 Li 2.68, 4 Zn 2.98
Ga 0.5000 0.5000 0.5000  8 Li 2.72, 4 Ga 2.98

## Properties
* ΔH_f (0 K): -0.223 eV per atom

---

(5)
Here is crystalline RhPb3 at its relaxed geometry from Alexandria. Energies are from PBE.

a b c (Å): 5.9758 5.9758 5.9758
angles (deg): 116.47 116.47 116.47
With the nearest neighbours (Å) after each atom.
Fractional coordinates of all 4 atoms:
Rh 0.0000 0.0000 0.0000  6 Pb 3.15, 2 Rh 3.41
Pb 0.0000 0.5000 0.5000  6 Pb 3.15-3.41, 2 Rh 3.15
Pb 0.5000 0.0000 0.5000  2 Rh 3.15, 6 Pb 3.15-3.41
Pb 0.5000 0.5000 0.0000  6 Pb 3.15-3.41, 2 Rh 3.15

## Properties
* ΔH_f (0 K): 0.341 eV per atom

---

(6)
Here is crystalline Ho8Tm6Th at its relaxed geometry from Alexandria. Energies are from PBE.

a b c (Å): 8.5434 8.5434 8.5434
angles (deg): 62.93 62.93 62.93
With the nearest neighbours (Å) after each atom.
Fractional coordinates of all 15 atoms:
Ho 0.0773 0.0773 0.0773  4 Ho 3.16-3.37, 3 Tm 3.33
Ho 0.2182 0.2513 0.6118  3 Tm 3.35-3.68, 5 Ho 3.37-3.40, 1 Th 3.46
Ho 0.2513 0.6118 0.2182  3 Tm 3.35-3.68, 5 Ho 3.37-3.40, 1 Th 3.46
Ho 0.3882 0.7818 0.7487  3 Tm 3.35-3.68, 5 Ho 3.37-3.40, 1 Th 3.46
Ho 0.6118 0.2182 0.2513  3 Tm 3.35-3.68, 5 Ho 3.37-3.40, 1 Th 3.46
Ho 0.7487 0.3882 0.7818  3 Tm 3.35-3.68, 5 Ho 3.37-3.40, 1 Th 3.46
Ho 0.7818 0.7487 0.3882  3 Tm 3.35-3.68, 5 Ho 3.37-3.40, 1 Th 3.46
Ho 0.9227 0.9227 0.9227  4 Ho 3.16-3.37, 3 Tm 3.33
Tm 0.0369 0.7355 0.6035  4 Ho 3.33-3.68, 1 Th 3.42, 4 Tm 3.43-3.72
Tm 0.2645 0.3965 0.9631  4 Ho 3.33-3.68, 1 Th 3.42, 4 Tm 3.43-3.72
Tm 0.3965 0.9631 0.2645  4 Ho 3.33-3.68, 1 Th 3.42, 4 Tm 3.43-3.72
Tm 0.6035 0.0369 0.7355  4 Ho 3.33-3.68, 1 Th 3.42, 4 Tm 3.43-3.72
Tm 0.7355 0.6035 0.0369  4 Ho 3.33-3.68, 1 Th 3.42, 4 Tm 3.43-3.72
Tm 0.9631 0.2645 0.3965  4 Ho 3.33-3.68, 1 Th 3.42, 4 Tm 3.43-3.72
Th 0.5000 0.5000 0.5000  6 Tm 3.42, 6 Ho 3.46

## Properties
* ΔH_f (0 K): 0.130 eV per atom

---

(7)
Here is crystalline LiCaGa at its relaxed geometry from Alexandria. Energies are from PBE.

a b c (Å): 7.7156 7.7156 5.1174
angles (deg): 92.74 92.74 27.16
With the nearest neighbours (Å) after each atom.
Fractional coordinates of all 6 atoms:
Li 0.2390 0.2390 0.2601  2 Ga 2.72
Li 0.7610 0.7610 0.7399  2 Ga 2.72
Ca 0.0774 0.0774 0.7613  6 Ga 3.15-3.27, 3 Li 3.30-3.43, 2 Ca 3.45
Ca 0.9226 0.9226 0.2387  6 Ga 3.15-3.27, 3 Li 3.30-3.43, 2 Ca 3.45
Ga 0.3958 0.3958 0.7330  2 Li 2.72
Ga 0.6042 0.6042 0.2670  2 Li 2.72

## Properties
* ΔH_f (0 K): -0.274 eV per atom

---

(8)
Here is crystalline Cs2Li2Sn at its relaxed geometry from Alexandria. Energies are from PBE.

a b c (Å): 7.9347 7.9347 6.5120
angles (deg): 90.00 90.00 90.00
With the nearest neighbours (Å) after each atom.
Fractional coordinates of all 10 atoms:
Cs 0.1790 0.3210 0.0000  2 Li 3.48
Cs 0.3210 0.8210 0.0000  2 Li 3.48
Cs 0.6790 0.1790 0.0000  2 Li 3.48
Cs 0.8210 0.6790 0.0000  2 Li 3.48
Li 0.2115 0.7115 0.5000  2 Sn 2.84
Li 0.2885 0.2115 0.5000  2 Sn 2.84
Li 0.7115 0.7885 0.5000  2 Sn 2.84
Li 0.7885 0.2885 0.5000  2 Sn 2.84
Sn 0.0000 0.0000 0.5000  4 Li 2.84
Sn 0.5000 0.5000 0.5000  4 Li 2.84

## Properties
* ΔH_f (0 K): -0.044 eV per atom

---

(9)
Here is crystalline ZnSb2 at its relaxed geometry from Alexandria. Energies are from PBE.

a b c (Å): 7.9595 7.9595 3.9711
angles (deg): 90.00 90.00 120.00
With the nearest neighbours (Å) after each atom.
Fractional coordinates of all 9 atoms:
Zn 0.0000 0.0000 0.0000  6 Sb 2.97
Zn 0.3333 0.6667 0.5000  9 Sb 2.90-3.10
Zn 0.6667 0.3333 0.5000  9 Sb 2.90-3.10
Sb 0.0000 0.2779 0.5000  4 Zn 2.90-2.97, 2 Sb 3.10
Sb 0.0000 0.5777 0.0000  5 Zn 3.10-3.36, 2 Sb 3.10
Sb 0.2779 0.0000 0.5000  4 Zn 2.90-2.97, 2 Sb 3.10
Sb 0.4223 0.4223 0.0000  5 Zn 3.10-3.36, 2 Sb 3.10
Sb 0.5777 0.0000 0.0000  5 Zn 3.10-3.36, 2 Sb 3.10
Sb 0.7221 0.7221 0.5000  4 Zn 2.90-2.97, 2 Sb 3.10

## Properties
* raw formation energy: 0.195 eV per atom

---

(10)
Here is crystalline TmTi4Ir5 at its relaxed geometry from Alexandria. Energies are from PBE.

a b c (Å): 2.9929 2.9929 17.7326
angles (deg): 90.00 90.00 90.00
With the nearest neighbours (Å) after each atom.
Fractional coordinates of all 10 atoms:
Tm 0.0000 0.0000 0.0000  4 Tm 2.99, 8 Ir 3.01
Ti 0.0000 0.0000 0.2078  8 Ir 2.62-2.73
Ti 0.0000 0.0000 0.4023  8 Ir 2.73, 4 Ti 2.99
Ti 0.0000 0.0000 0.5977  8 Ir 2.73, 4 Ti 2.99
Ti 0.0000 0.0000 0.7922  8 Ir 2.62-2.73
Ir 0.5000 0.5000 0.1207  4 Ti 2.62
Ir 0.5000 0.5000 0.3052  8 Ti 2.73, 4 Ir 2.99
Ir 0.5000 0.5000 0.5000  8 Ti 2.73, 4 Ir 2.99
Ir 0.5000 0.5000 0.6948  8 Ti 2.73, 4 Ir 2.99
Ir 0.5000 0.5000 0.8793  4 Ti 2.62

## Properties
* ΔH_f (0 K): -0.833 eV per atom